! Na2ZnNiF6, optimized geometry, DFT PBE+U; values from VASP
&SYSTEM
  ibrav = 0, nat = 20, ntyp = 4
/
ATOMIC_SPECIES
Na 22.99 Na.upf
Zn 65.41 Zn.upf
Ni 58.69 Ni.upf
F 19.00 F.upf
CELL_PARAMETERS angstrom
5.439 0.000 0.000
0.000 5.637 0.000
-5.425 0.000 7.825
ATOMIC_POSITIONS crystal
Na 0.234 0.057 0.250
Na 0.234 0.443 0.750
Na 0.766 0.557 0.250
Na 0.766 0.943 0.750
Zn 0.500 0.000 0.000
Zn 0.500 0.500 0.500
Ni 0.000 0.000 0.500
Ni 0.000 0.500 0.000
F 0.139 0.202 0.945
F 0.139 0.298 0.445
F 0.246 0.699 0.945
F 0.246 0.801 0.445
F 0.353 0.038 0.748
F 0.353 0.462 0.248
F 0.647 0.538 0.752
F 0.647 0.962 0.252
F 0.754 0.199 0.555
F 0.754 0.301 0.055
F 0.861 0.702 0.555
F 0.861 0.798 0.055
! E = -84.88 eV per cell
! total magnetization = 2.00 μB per formula unit